(1)
# Zr2SiO4

Zr2SiO4 after structural relaxation (GGA-PBE, OQMD).

magnetization = 0.0004 μB per atom
symmetry = No. 227
raw total energy = -119.520 eV for the cell shown

a = 6.129 Å, b = 6.129 Å, c = 6.129 Å
α = 60.00°, β = 60.00°, γ = 60.00°
Sites, in units of the cell vectors:
Zr  0.000  0.000  0.000
Zr  0.000  0.000  0.500
Zr  0.000  0.500  0.000
Zr  0.500  0.000  0.000
Si  0.375  0.375  0.375
Si  0.625  0.625  0.625
O  0.266  0.266  0.266
O  0.266  0.266  0.703
O  0.266  0.703  0.266
O  0.297  0.734  0.734
O  0.703  0.266  0.266
O  0.734  0.297  0.734
O  0.734  0.734  0.297
O  0.734  0.734  0.734

***

(2)
# Cd3Sn5O12

Cd3Sn5O12 after structural relaxation (GGA-PBE, OQMD).

symmetry = No. 204
raw total energy = -109.351 eV for the cell shown

a = 6.892 Å, b = 6.892 Å, c = 6.892 Å
α = 109.47°, β = 109.47°, γ = 109.47°
Sites, in units of the cell vectors:
Cd  0.000  0.500  0.500
Cd  0.500  0.000  0.500
Cd  0.500  0.500  0.000
Sn  0.000  0.000  0.000
Sn  0.000  0.000  0.500
Sn  0.000  0.500  0.000
Sn  0.500  0.000  0.000
Sn  0.500  0.500  0.500
O  0.101  0.295  0.806
O  0.194  0.489  0.295
O  0.194  0.899  0.705
O  0.295  0.194  0.489
O  0.295  0.806  0.101
O  0.489  0.295  0.194
O  0.511  0.705  0.806
O  0.705  0.194  0.899
O  0.705  0.806  0.511
O  0.806  0.101  0.295
O  0.806  0.511  0.705
O  0.899  0.705  0.194